Entry 1:
## Mg3Re (meta-GGA SCAN)

Data for Mg3Re at its PBEsol-relaxed geometry.

The structure belongs to space group Imm2 (No. 44); the cell edges are 2.8141, 9.4949 and 5.2086 Å and the angles 90.00°, 90.00° and 90.00°. Symmetry generates all atoms from Mg at (0.0000, 0.0000, 0.0000), Mg at (0.0000, 0.2410, 0.3224) and Re at (0.0000, 0.5000, 0.0133).

As for the energy: -21.23 eV/atom. Its size of the total moment is 0.0 μB per formula unit. The energy of formation from the pure elements is 0.2758 eV per atom. As for the density of states at the Fermi level: 0.429 states/eV per atom. As for the volume: 139.2 Å³/cell. The crystal system is orthorhombic.

---

Entry 2:
## Mg3Re (meta-GGA SCAN)

Data for Mg3Re at its PBEsol-relaxed geometry.

The structure belongs to space group P4/mmm (No. 123); the cell edges are 4.8627, 4.8627 and 2.9400 Å and the angles 90.00°, 90.00° and 90.00°. Symmetry generates all atoms from Mg at (0.0000, 0.0000, 0.0000), Mg at (0.0000, 0.5000, 0.5000) and Re at (0.5000, 0.5000, 0.0000).

As for the energy: -21.10 eV/atom. Its size of the total moment is 0.0 μB per formula unit. The energy of formation from the pure elements is 0.4093 eV per atom. As for the density of states at the Fermi level: 0.541 states/eV per atom. As for the volume: 69.5 Å³/cell. The crystal system is tetragonal.

---

| no. | relative energy among the computed polymorphs (meV per atom) |
| --- | --- |
| 1 | 0 |
| 2 | 134 |